# 1
Entry from Alexandria: SrIrOF2 after structural relaxation (PBE-GGA).

```
data_SrIrOF2
_space_group_name_H-M_alt 'P 4/m m m'
_space_group_IT_number 123
_space_group_name_Hall '-P 4 2'
_cell_length_a 4.501
_cell_length_b 4.501
_cell_length_c 4.913
_cell_angle_alpha 90.00
_cell_angle_beta 90.00
_cell_angle_gamma 90.00
loop_
_atom_site_label
_atom_site_type_symbol
_atom_site_fract_x
_atom_site_fract_y
_atom_site_fract_z
_atom_site_occupancy
Sr1 Sr 0.000 0.000 0.000 1
Ir1 Ir 0.500 0.500 0.500 1
O1 O 0.000 0.000 0.500 1
F1 F 0.000 0.500 0.000 1
```

Results
raw formation energy: -637 meV/atom
uncorrected energy: -22.43 eV/cell
distance to the lowest polymorph of the same formula: 4.687 eV per formula unit
total moment: 3.1 μB per formula unit


# 2
Entry from Alexandria: NaLi4Pb after structural relaxation (PBE-GGA).

```
data_NaLi4Pb
_space_group_name_H-M_alt 'C 1 2/c 1'
_space_group_IT_number 15
_space_group_name_Hall '-C 2yc'
_cell_length_a 15.345
_cell_length_b 5.432
_cell_length_c 6.573
_cell_angle_alpha 90.00
_cell_angle_beta 104.06
_cell_angle_gamma 90.00
loop_
_atom_site_label
_atom_site_type_symbol
_atom_site_fract_x
_atom_site_fract_y
_atom_site_fract_z
_atom_site_occupancy
Na1 Na 0.250 0.250 0.000 1
Li1 Li 0.075 0.126 0.158 1
Li2 Li 0.149 0.333 0.551 1
Pb1 Pb 0.000 0.379 0.750 1
```

Results
uncorrected energy: -53.16 eV/cell
distance to the lowest polymorph of the same formula: 0.136 eV per formula unit
ΔE_f: -0.6 eV/f.u.
total moment: 0.0 μB per formula unit


Among the records above, which one has the lowest uncorrected energy? NaLi4Pb